A plane-wave DFT calculation with PBE was carried out for crystalline UNb2ReC4 at its relaxed geometry.

a b c (Å): 5.9460 5.9460 11.1533
angles (deg): 90.00 90.00 148.76
Last column: nearest neighbours and their distance in Å.
Atoms (fractional coordinates):
U: 0.1094 0.8906 0.7500  6 C 2.39-2.57
U: 0.8906 0.1094 0.2500  6 C 2.39-2.57
Nb: 0.3721 0.6279 0.5374  3 C 2.10-2.21
Nb: 0.3721 0.6279 0.9626  3 C 2.10-2.21
Nb: 0.6279 0.3721 0.0374  3 C 2.10-2.21
Nb: 0.6279 0.3721 0.4626  3 C 2.10-2.21
Re: 0.1538 0.8462 0.2500  4 C 1.98-2.03
Re: 0.8462 0.1538 0.7500  4 C 1.98-2.03
C: 0.0000 0.0000 0.0000  4 Nb 2.21
C: 0.0000 0.0000 0.5000  4 Nb 2.21
C: 0.2698 0.7302 0.1185  1 Re 1.98, 1 Nb 2.10
C: 0.2698 0.7302 0.3815  1 Re 1.98, 1 Nb 2.10
C: 0.4547 0.5453 0.7500  2 Re 2.03
C: 0.5453 0.4547 0.2500  2 Re 2.03
C: 0.7302 0.2698 0.6185  1 Re 1.98, 1 Nb 2.10
C: 0.7302 0.2698 0.8815  1 Re 1.98, 1 Nb 2.10

Size of the total moment (μB per formula unit): 1.1
DFT total energy (eV/atom): -10.24
ΔE_f (eV/atom): -0.139
V (Å³/cell): 205
Space-group type: Cmcm, No. 63

=====

A plane-wave DFT calculation with PBE was carried out for crystalline ScRhS2Br at its relaxed geometry.

a b c (Å): 4.8738 4.8738 4.9055
angles (deg): 90.00 90.00 90.00
Last column: nearest neighbours and their distance in Å.
Atoms (fractional coordinates):
Sc: 0.0000 0.0000 0.0000  2 Br 2.45
Rh: 0.5000 0.5000 0.0000  4 Sc 3.45, 8 S 3.46
S: 0.0000 0.5000 0.5000  2 Br 2.44
S: 0.5000 0.0000 0.5000  2 Br 2.44
Br: 0.0000 0.0000 0.5000  4 S 2.44, 2 Sc 2.45

Size of the total moment (μB per formula unit): 0.0
DFT total energy (eV/atom): -3.76
V (Å³/cell): 117
Space-group type: P4/mmm, No. 123